# NaTcAs2

A geometry-optimized NaTcAs2 structure (GGA-PBE, Alexandria).

Values from the calculation:
relative energy among the computed polymorphs	0.082	eV/atom
volume	76	Å³ per cell
ΔE_f	-0.215	eV/atom
uncorrected energy	-5.461	eV/atom

Cell: 3.2516 3.2516 8.4648 Å, 78.93 78.93 60.00°
Positions (direct):
1 Na 0.5008 0.5008 0.4976
2 Tc 0.6664 0.6664 0.0009
3 As 0.0690 0.0690 0.7929
4 As 0.2638 0.2638 0.2086